# Nd2ThSe4 PBE optimized geometry
data_Nd2ThSe4
_cell_length_a 8.4214
_cell_length_b 8.4497
_cell_length_c 11.7304
_cell_angle_alpha 90.00
_cell_angle_beta 90.00
_cell_angle_gamma 90.00
_space_group_name_H-M_alt 'I m m a'
_space_group_IT_number 74
_space_group_name_Hall '-I 2b 2'
loop_
_atom_site_label
_atom_site_type_symbol
_atom_site_fract_x
_atom_site_fract_y
_atom_site_fract_z
_atom_site_occupancy
Nd1 Nd 0.0000 0.0000 0.0000 1
Nd2 Nd 0.2500 0.2500 0.2500 1
Th1 Th 0.0000 0.0000 0.5000 1
Se1 Se 0.0000 0.0004 0.2525 1
Se2 Se 0.2478 0.2500 0.5079 1
# - Distance to the lowest polymorph of the same formula: 0.000 eV/atom
# - Energy relative to the elements, uncorrected: -1.7946 eV/atom